Entry 1:
## Tl2InCo (PBE)

Data for an optimized crystal structure of Tl2InCo.

abc: 4.337 4.337 10.796
angles: 78.41 78.41 90.00
Each line ends with the local moment (μB).
Positions (direct):
Co: 0.500 0.500 0.000  1.60
In: 0.750 0.250 0.500  -0.02
Co: 0.250 0.750 0.500  1.61
Tl: 0.142 0.625 0.250  -0.01
Tl: 0.608 0.125 0.250  -0.01
Tl: 0.875 0.858 0.750  -0.01
In: 0.000 0.000 0.000  -0.02
Tl: 0.375 0.392 0.750  -0.01

space group: No. 122
ΔE to the lowest computed polymorph: 362.8 meV/atom

=====

Entry 2:
## Sm5Y4Ho (PBE)

Data for an optimized crystal structure of Sm5Y4Ho.

abc: 3.505 6.817 14.267
angles: 97.09 97.04 89.99
Positions (direct):
Y: 0.907 0.706 0.813
Sm: 0.794 0.894 0.587
Sm: 0.206 0.106 0.413
Y: 0.093 0.294 0.187
Sm: 0.201 0.599 0.401
Sm: 0.799 0.401 0.599
Y: 0.392 0.187 0.784
Sm: 0.500 0.500 0.000
Ho: 0.500 0.000 0.000
Y: 0.608 0.813 0.216

space group: No. 12
ΔE to the lowest computed polymorph: 0.0 meV/atom

=====

Number 1: formation enthalpy at 0 K 0.589 eV per atom, total moment 1.5 μB/f.u., total energy -3.055 eV/atom. Number 2: formation enthalpy at 0 K 0.151 eV per atom, total moment 0.0 μB/f.u., total energy -5.252 eV/atom.